[1]
# La3Cd2Cu PBE-GGA relaxed
data_La3Cd2Cu
_cell_length_a 5.3886
_cell_length_b 8.5504
_cell_length_c 7.8210
_cell_angle_alpha 90.00
_cell_angle_beta 90.01
_cell_angle_gamma 71.63
_space_group_name_H-M_alt 'P 1'
_space_group_IT_number 1
_space_group_name_Hall 'P 1'
loop_
_atom_site_label
_atom_site_type_symbol
_atom_site_fract_x
_atom_site_fract_y
_atom_site_fract_z
_atom_site_occupancy
La1 La 0.8264 0.3476 0.7727 1
La2 La 0.4996 0.0000 0.2394 1
La3 La 0.1736 0.6524 0.2273 1
La4 La 0.8260 0.3476 0.2273 1
La5 La 0.1740 0.6524 0.7727 1
La6 La 0.5004 0.0000 0.7606 1
Cd1 Cd 0.0000 0.0000 0.0000 1
Cd2 Cd 0.0000 0.0000 0.5000 1
Cd3 Cd 0.3347 0.3307 0.5000 1
Cd4 Cd 0.6653 0.6693 0.5000 1
Cu1 Cu 0.3443 0.3115 0.0000 1
Cu2 Cu 0.6557 0.6885 0.0000 1
# **Size of the total moment**: 0.009 μB/cell
# **Final energy**: -3.6996 eV/atom
# **SG**: Cmmm, No. 65


[2]
# LaCd2Cu PBE-GGA relaxed
data_LaCd2Cu
_cell_length_a 4.2853
_cell_length_b 4.2853
_cell_length_c 11.6278
_cell_angle_alpha 79.38
_cell_angle_beta 79.38
_cell_angle_gamma 90.00
_space_group_name_H-M_alt 'P 1'
_space_group_IT_number 1
_space_group_name_Hall 'P 1'
loop_
_atom_site_label
_atom_site_type_symbol
_atom_site_fract_x
_atom_site_fract_y
_atom_site_fract_z
_atom_site_occupancy
Cd1 Cd 0.5944 0.1250 0.2500 1
Cd2 Cd 0.1556 0.6250 0.2500 1
Cd3 Cd 0.3750 0.4056 0.7500 1
Cd4 Cd 0.8750 0.8444 0.7500 1
Cu1 Cu 0.5000 0.5000 0.0000 1
Cu2 Cu 0.2500 0.7500 0.5000 1
La1 La 0.0000 0.0000 0.0000 1
La2 La 0.7500 0.2500 0.5000 1
# **Size of the total moment**: 0.000 μB/cell
# **Final energy**: -2.6555 eV/atom
# **SG**: I-42d, No. 122


| no. | formation energy (eV/atom) |
| --- | --- |
| 1 | -0.248 |
| 2 | 0.058 |